Arrangement a

PrEu2Tl: optimized geometry, PBE.

```
data_PrEu2Tl
_cell_length_a 3.6975
_cell_length_b 3.6975
_cell_length_c 37.0234
_cell_angle_alpha 90.00
_cell_angle_beta 90.00
_cell_angle_gamma 120.00
_symmetry_space_group_name_H-M 'R -3 m'
_symmetry_Int_Tables_number 166
_symmetry_space_group_name_Hall '-R 3 2"'
loop_
_atom_site_label
_atom_site_fract_x
_atom_site_fract_y
_atom_site_fract_z
Pr1 0.0000 0.0000 0.0000
Eu1 0.0000 0.0000 0.0958
Tl1 0.0000 0.0000 0.5000
```

Arrangement b

PrEu2Tl: optimized geometry, PBE.

```
data_PrEu2Tl
_cell_length_a 5.002
_cell_length_b 5.002
_cell_length_c 5.288
_cell_angle_alpha 90.00
_cell_angle_beta 90.00
_cell_angle_gamma 90.00
_symmetry_space_group_name_H-M 'P 4/m m m'
_symmetry_Int_Tables_number 123
_symmetry_space_group_name_Hall '-P 4 2'
loop_
_atom_site_label
_atom_site_fract_x
_atom_site_fract_y
_atom_site_fract_z
Pr1 0.000 0.000 0.000
Eu1 0.000 0.500 0.500
Tl1 0.500 0.500 0.000
```

Which of them is the most stable? Correct choice: arrangement b.

Arrangement a

Pr2EuTl: optimized geometry, PBE.

```
data_Pr2EuTl
_cell_length_a 3.840
_cell_length_b 3.840
_cell_length_c 9.382
_cell_angle_alpha 90.00
_cell_angle_beta 90.00
_cell_angle_gamma 90.00
_symmetry_space_group_name_H-M 'P 4/m m m'
_symmetry_Int_Tables_number 123
_symmetry_space_group_name_Hall '-P 4 2'
loop_
_atom_site_label
_atom_site_fract_x
_atom_site_fract_y
_atom_site_fract_z
Pr1 0.000 0.000 0.216
Eu1 0.500 0.500 0.500
Tl1 0.500 0.500 0.000
```

Arrangement b

Pr2EuTl: optimized geometry, PBE.

```
data_Pr2EuTl
_cell_length_a 5.106
_cell_length_b 5.106
_cell_length_c 4.958
_cell_angle_alpha 90.00
_cell_angle_beta 90.00
_cell_angle_gamma 90.00
_symmetry_space_group_name_H-M 'P 4/m m m'
_symmetry_Int_Tables_number 123
_symmetry_space_group_name_Hall '-P 4 2'
loop_
_atom_site_label
_atom_site_fract_x
_atom_site_fract_y
_atom_site_fract_z
Pr1 0.000 0.500 0.000
Eu1 0.000 0.000 0.500
Tl1 0.500 0.500 0.500
```

Arrangement c

Pr2EuTl: optimized geometry, PBE.

```
data_Pr2EuTl
_cell_length_a 8.040
_cell_length_b 8.040
_cell_length_c 8.040
_cell_angle_alpha 90.00
_cell_angle_beta 90.00
_cell_angle_gamma 90.00
_symmetry_space_group_name_H-M 'F m -3 m'
_symmetry_Int_Tables_number 225
_symmetry_space_group_name_Hall '-F 4 2 3'
loop_
_atom_site_label
_atom_site_fract_x
_atom_site_fract_y
_atom_site_fract_z
Pr1 0.250 0.250 0.250
Eu1 0.000 0.000 0.000
Tl1 0.000 0.000 0.500
```

Which of them is the most stable? Correct choice: arrangement b.

Arrangement a

PrEuY2: optimized geometry, PBE.

```
data_PrEuY2
_cell_length_a 5.187
_cell_length_b 5.187
_cell_length_c 5.171
_cell_angle_alpha 90.00
_cell_angle_beta 90.00
_cell_angle_gamma 90.00
_symmetry_space_group_name_H-M 'P 4/m m m'
_symmetry_Int_Tables_number 123
_symmetry_space_group_name_Hall '-P 4 2'
loop_
_atom_site_label
_atom_site_fract_x
_atom_site_fract_y
_atom_site_fract_z
Pr1 0.000 0.000 0.000
Eu1 0.500 0.500 0.000
Y1 0.000 0.500 0.500
```

Arrangement b

PrEuY2: optimized geometry, PBE.

```
data_PrEuY2
_cell_length_a 8.247
_cell_length_b 8.247
_cell_length_c 8.247
_cell_angle_alpha 90.00
_cell_angle_beta 90.00
_cell_angle_gamma 90.00
_symmetry_space_group_name_H-M 'F m -3 m'
_symmetry_Int_Tables_number 225
_symmetry_space_group_name_Hall '-F 4 2 3'
loop_
_atom_site_label
_atom_site_fract_x
_atom_site_fract_y
_atom_site_fract_z
Pr1 0.000 0.000 0.000
Eu1 0.000 0.000 0.500
Y1 0.250 0.250 0.250
```

Arrangement c

PrEuY2: optimized geometry, PBE.

```
data_PrEuY2
_cell_length_a 3.694
_cell_length_b 3.694
_cell_length_c 10.345
_cell_angle_alpha 90.00
_cell_angle_beta 90.00
_cell_angle_gamma 90.00
_symmetry_space_group_name_H-M 'P 4/m m m'
_symmetry_Int_Tables_number 123
_symmetry_space_group_name_Hall '-P 4 2'
loop_
_atom_site_label
_atom_site_fract_x
_atom_site_fract_y
_atom_site_fract_z
Pr1 0.000 0.000 0.000
Eu1 0.000 0.000 0.500
Y1 0.500 0.500 0.239
```

Arrangement d

PrEuY2: optimized geometry, PBE.

```
data_PrEuY2
_cell_length_a 3.6732
_cell_length_b 3.6732
_cell_length_c 35.9094
_cell_angle_alpha 90.00
_cell_angle_beta 90.00
_cell_angle_gamma 120.00
_symmetry_space_group_name_H-M 'R -3 m'
_symmetry_Int_Tables_number 166
_symmetry_space_group_name_Hall '-R 3 2"'
loop_
_atom_site_label
_atom_site_fract_x
_atom_site_fract_y
_atom_site_fract_z
Pr1 0.0000 0.0000 0.0000
Eu1 0.0000 0.0000 0.5000
Y1 0.0000 0.0000 0.2523
```

Which of them is the most stable? Correct choice: arrangement d.

Arrangement a

PrEu2Zn: optimized geometry, PBE.

```
data_PrEu2Zn
_cell_length_a 3.7720
_cell_length_b 3.7720
_cell_length_c 33.1915
_cell_angle_alpha 90.00
_cell_angle_beta 90.00
_cell_angle_gamma 120.00
_symmetry_space_group_name_H-M 'R -3 m'
_symmetry_Int_Tables_number 166
_symmetry_space_group_name_Hall '-R 3 2"'
loop_
_atom_site_label
_atom_site_fract_x
_atom_site_fract_y
_atom_site_fract_z
Pr1 0.0000 0.0000 0.0000
Eu1 0.0000 0.0000 0.2373
Zn1 0.0000 0.0000 0.5000
```

Arrangement b

PrEu2Zn: optimized geometry, PBE.

```
data_PrEu2Zn
_cell_length_a 3.729
_cell_length_b 3.729
_cell_length_c 9.345
_cell_angle_alpha 90.00
_cell_angle_beta 90.00
_cell_angle_gamma 90.00
_symmetry_space_group_name_H-M 'P 4/m m m'
_symmetry_Int_Tables_number 123
_symmetry_space_group_name_Hall '-P 4 2'
loop_
_atom_site_label
_atom_site_fract_x
_atom_site_fract_y
_atom_site_fract_z
Pr1 0.000 0.000 0.000
Eu1 0.500 0.500 0.301
Zn1 0.000 0.000 0.500
```

Which of them is the most stable? Correct choice: arrangement b.